P) Material: Rb2NbBr7
Method: DFT, PBE
State: relaxed

Lattice parameters (Å, degrees): 9.9407 9.9407 12.6057 124.64 124.64 50.87
Closest atoms and distances in Å follow each position.
Fractional positions:
Rb1 0.0245 0.7151 0.9629  7 Br 3.43-3.79
Rb2 0.2849 0.9755 0.5371  7 Br 3.43-3.79
Rb3 0.7151 0.0245 0.4629  7 Br 3.43-3.79
Rb4 0.9755 0.2849 0.0371  7 Br 3.43-3.79
Nb1 0.2940 0.7060 0.7500  7 Br 2.52-2.78
Nb2 0.7060 0.2940 0.2500  7 Br 2.52-2.78
Br1 0.0652 0.1220 0.2591  1 Nb 2.78
Br2 0.1220 0.0652 0.7591  1 Nb 2.78
Br3 0.1932 0.6230 0.4960  1 Nb 2.52
Br4 0.2269 0.4523 0.7068  1 Nb 2.69
Br5 0.3770 0.8068 0.0040  1 Nb 2.52
Br6 0.3936 0.6064 0.2500  1 Nb 2.67
Br7 0.4523 0.2269 0.2068  1 Nb 2.69
Br8 0.5477 0.7731 0.7932  1 Nb 2.69
Br9 0.6064 0.3936 0.7500  1 Nb 2.67
Br10 0.6230 0.1932 0.9960  1 Nb 2.52
Br11 0.7731 0.5477 0.2932  1 Nb 2.69
Br12 0.8068 0.3770 0.5040  1 Nb 2.52
Br13 0.8780 0.9348 0.2409  1 Nb 2.78
Br14 0.9348 0.8780 0.7409  1 Nb 2.78

Calculated values
space group	No. 15
magnetization	0.1	μB/f.u.
N(E_F)	0.0280	states/eV/atom

***

Q) Material: Rb2NbBr7
Method: DFT, PBE
State: relaxed

Lattice parameters (Å, degrees): 8.4002 8.4002 8.4002 60.00 60.00 60.00
Closest atoms and distances in Å follow each position.
Fractional positions:
Rb1 0.2500 0.2500 0.2500  12 Br 4.22
Rb2 0.7500 0.7500 0.7500  12 Br 4.22
Nb1 0.0000 0.0000 0.0000  6 Br 2.56
Br1 0.2156 0.2156 0.7844  1 Nb 2.56
Br2 0.2156 0.7844 0.2156  1 Nb 2.56
Br3 0.2156 0.7844 0.7844  1 Nb 2.56
Br4 0.5000 0.5000 0.5000  6 Br 3.38
Br5 0.7844 0.2156 0.2156  1 Nb 2.56
Br6 0.7844 0.2156 0.7844  1 Nb 2.56
Br7 0.7844 0.7844 0.2156  1 Nb 2.56

Calculated values
space group	No. 225
magnetization	0.0	μB/f.u.
N(E_F)	0.0000	states/eV/atom

***

What is the stability order? It is P), Q), from most stable to least stable.

***

P) Material: RbNb2Br
Method: DFT, PBE
State: relaxed

Lattice parameters (Å, degrees): 12.3066 12.3066 12.3066 159.24 159.24 29.52
Closest atoms and distances in Å follow each position.
Fractional positions:
Rb1 0.0000 0.0000 0.0000  4 Br 3.14
Rb2 0.7500 0.2500 0.5000  4 Br 3.14
Nb1 0.2619 0.1250 0.6369  2 Nb 2.43
Nb2 0.3750 0.7381 0.8631  2 Nb 2.43
Nb3 0.4881 0.6250 0.3631  2 Nb 2.43
Nb4 0.8750 0.5119 0.1369  2 Nb 2.43
Br1 0.2500 0.7500 0.5000  4 Rb 3.14, 4 Nb 3.21
Br2 0.5000 0.5000 0.0000  4 Rb 3.14, 4 Nb 3.21

Calculated values
space group	No. 122
magnetization	0.0	μB/f.u.
N(E_F)	1.3931	states/eV/atom

***

Q) Material: RbNb2Br
Method: DFT, PBE
State: relaxed

Lattice parameters (Å, degrees): 4.9823 4.9823 4.9823 60.00 60.00 60.00
Closest atoms and distances in Å follow each position.
Fractional positions:
Rb1 0.0000 0.0000 0.0000  8 Nb 3.05
Nb1 0.2500 0.2500 0.2500  4 Br 3.05, 4 Rb 3.05
Nb2 0.7500 0.7500 0.7500  4 Br 3.05, 4 Rb 3.05
Br1 0.5000 0.5000 0.5000  8 Nb 3.05

Calculated values
space group	No. 225
magnetization	1.6	μB/f.u.
N(E_F)	1.8765	states/eV/atom

***

What is the stability order? It is P), Q), from most stable to least stable.

***

P) Material: RbNbSeBr2
Method: DFT, PBE
State: relaxed

Lattice parameters (Å, degrees): 5.5205 5.5205 5.0548 90.00 90.00 90.00
Closest atoms and distances in Å follow each position.
Fractional positions:
Rb1 0.0000 0.0000 0.0000  8 Br 3.74, 4 Se 3.90
Nb1 0.5000 0.5000 0.5000  2 Se 2.53, 4 Br 2.76
Se1 0.5000 0.5000 0.0000  2 Nb 2.53
Br1 0.0000 0.5000 0.5000  2 Nb 2.76
Br2 0.5000 0.0000 0.5000  2 Nb 2.76

Calculated values
space group	No. 123
magnetization	1.9	μB/f.u.
N(E_F)	0.5091	states/eV/atom

***

Q) Material: RbNbSeBr2
Method: DFT, PBE
State: relaxed

Lattice parameters (Å, degrees): 5.9943 5.9943 5.9904 90.00 90.00 90.00
Closest atoms and distances in Å follow each position.
Fractional positions:
Rb1 0.0000 0.0000 0.0000  2 Se 3.00, 4 Br 3.00
Nb1 0.5000 0.5000 0.5000  8 Br 4.24, 4 Se 4.24
Se1 0.0000 0.0000 0.5000  2 Rb 3.00
Br1 0.0000 0.5000 0.0000  2 Rb 3.00
Br2 0.5000 0.0000 0.0000  2 Rb 3.00

Calculated values
space group	No. 123
magnetization	2.0	μB/f.u.
N(E_F)	2.0160	states/eV/atom

***

What is the stability order? It is P), Q), from most stable to least stable.

***

P) Material: RbNbSe2Br
Method: DFT, PBE
State: relaxed

Lattice parameters (Å, degrees): 5.0934 5.0934 5.5431 90.00 90.00 90.00
Closest atoms and distances in Å follow each position.
Fractional positions:
Rb1 0.0000 0.0000 0.0000  4 Br 3.60, 8 Se 3.76
Nb1 0.5000 0.5000 0.5000  4 Se 2.55, 2 Br 2.77
Se1 0.0000 0.5000 0.5000  2 Nb 2.55
Se2 0.5000 0.0000 0.5000  2 Nb 2.55
Br1 0.5000 0.5000 0.0000  2 Nb 2.77

Calculated values
space group	No. 123
magnetization	0.7	μB/f.u.
N(E_F)	0.4267	states/eV/atom

***

Q) Material: RbNbSe2Br
Method: DFT, PBE
State: relaxed

Lattice parameters (Å, degrees): 5.7959 5.7959 5.8501 90.00 90.00 90.00
Closest atoms and distances in Å follow each position.
Fractional positions:
Rb1 0.0000 0.0000 0.0000  4 Se 2.90, 2 Br 2.93
Nb1 0.5000 0.5000 0.5000  4 Br 4.10, 8 Se 4.12
Se1 0.0000 0.5000 0.0000  2 Rb 2.90
Se2 0.5000 0.0000 0.0000  2 Rb 2.90
Br1 0.0000 0.0000 0.5000  2 Rb 2.93

Calculated values
space group	No. 123
magnetization	1.3	μB/f.u.
N(E_F)	1.5253	states/eV/atom

***

What is the stability order? It is P), Q), from most stable to least stable.

***

P) Material: Nb3ReBr
Method: DFT, PBE
State: relaxed

Lattice parameters (Å, degrees): 4.9342 4.9342 4.9342 90.00 90.00 90.00
Closest atoms and distances in Å follow each position.
Fractional positions:
Nb1 0.0000 0.0000 0.5000  2 Re 2.47
Nb2 0.0000 0.5000 0.0000  2 Re 2.47
Nb3 0.5000 0.0000 0.0000  2 Re 2.47
Re1 0.0000 0.0000 0.0000  6 Nb 2.47
Br1 0.5000 0.5000 0.5000  12 Nb 3.49

Calculated values
space group	No. 221
magnetization	0.0	μB/f.u.
N(E_F)	1.5300	states/eV/atom

***

Q) Material: Nb3ReBr
Method: DFT, PBE
State: relaxed

Lattice parameters (Å, degrees): 4.6550 4.6550 4.6550 90.00 90.00 90.00
Closest atoms and distances in Å follow each position.
Fractional positions:
Nb1 0.0000 0.0000 0.5000  2 Br 2.33
Nb2 0.0000 0.5000 0.0000  2 Br 2.33
Nb3 0.5000 0.0000 0.0000  2 Br 2.33
Re1 0.5000 0.5000 0.5000  12 Nb 3.29
Br1 0.0000 0.0000 0.0000  6 Nb 2.33

Calculated values
space group	No. 221
magnetization	0.0	μB/f.u.
N(E_F)	2.0467	states/eV/atom

***

What is the stability order? It is P), Q), from most stable to least stable.

***

P) Material: NbRhBr2
Method: DFT, PBE
State: relaxed

Lattice parameters (Å, degrees): 4.6461 4.6461 4.6461 60.00 60.00 60.00
Closest atoms and distances in Å follow each position.
Fractional positions:
Nb1 0.0000 0.0000 0.0000  8 Br 2.85
Rh1 0.5000 0.5000 0.5000  8 Br 2.85
Br1 0.2500 0.2500 0.2500  4 Rh 2.85, 4 Nb 2.85
Br2 0.7500 0.7500 0.7500  4 Nb 2.85, 4 Rh 2.85

Calculated values
space group	No. 225
magnetization	0.0	μB/f.u.
N(E_F)	1.0608	states/eV/atom

***

Q) Material: NbRhBr2
Method: DFT, PBE
State: relaxed

Lattice parameters (Å, degrees): 8.9275 8.9275 8.9275 20.98 20.98 20.98
Closest atoms and distances in Å follow each position.
Fractional positions:
Nb1 0.0000 0.0000 0.0000  6 Br 2.68
Rh1 0.5000 0.5000 0.5000  2 Br 2.45
Br1 0.4064 0.4064 0.4064  1 Rh 2.45, 3 Nb 2.68
Br2 0.5936 0.5936 0.5936  1 Rh 2.45, 3 Nb 2.68

Calculated values
space group	No. 166
magnetization	0.0	μB/f.u.
N(E_F)	1.3691	states/eV/atom

***

What is the stability order? It is Q), P), from most stable to least stable.

***

P) Material: NbRu2Br
Method: DFT, PBE
State: relaxed

Lattice parameters (Å, degrees): 4.5409 4.5409 4.5409 60.00 60.00 60.00
Closest atoms and distances in Å follow each position.
Fractional positions:
Nb1 0.0000 0.0000 0.0000  8 Ru 2.78
Ru1 0.2500 0.2500 0.2500  4 Br 2.78, 4 Nb 2.78
Ru2 0.7500 0.7500 0.7500  4 Nb 2.78, 4 Br 2.78
Br1 0.5000 0.5000 0.5000  8 Ru 2.78

Calculated values
space group	No. 225
magnetization	0.1	μB/f.u.
N(E_F)	1.3434	states/eV/atom

***

Q) Material: NbRu2Br
Method: DFT, PBE
State: relaxed

Lattice parameters (Å, degrees): 6.9831 6.9831 6.9831 132.55 132.55 69.35
Closest atoms and distances in Å follow each position.
Fractional positions:
Nb1 0.0000 0.0000 0.0000  4 Ru 2.46
Nb2 0.7500 0.2500 0.5000  4 Ru 2.46
Ru1 0.1279 0.6250 0.0029  2 Br 2.44, 2 Nb 2.46
Ru2 0.3750 0.3779 0.5029  2 Br 2.44, 2 Nb 2.46
Ru3 0.6221 0.1250 0.9971  2 Br 2.44, 2 Nb 2.46
Ru4 0.8750 0.8721 0.4971  2 Br 2.44, 2 Nb 2.46
Br1 0.2500 0.7500 0.5000  4 Ru 2.44
Br2 0.5000 0.5000 0.0000  4 Ru 2.44

Calculated values
space group	No. 122
magnetization	0.0	μB/f.u.
N(E_F)	0.5206	states/eV/atom

***

What is the stability order? It is P), Q), from most stable to least stable.

***

P) Material: NbS2Br
Method: DFT, PBE
State: relaxed

Lattice parameters (Å, degrees): 9.0855 9.0855 9.0855 21.48 21.48 21.48
Closest atoms and distances in Å follow each position.
Fractional positions:
Nb1 0.0000 0.0000 0.0000  2 S 2.26
S1 0.0850 0.0850 0.0850  1 Nb 2.26
S2 0.9150 0.9150 0.9150  1 Nb 2.26
Br1 0.5000 0.5000 0.5000  6 S 2.92

Calculated values
space group	No. 166
magnetization	0.0	μB/f.u.
N(E_F)	0.9602	states/eV/atom

***

Q) Material: NbS2Br
Method: DFT, PBE
State: relaxed

Lattice parameters (Å, degrees): 6.9203 6.9203 6.9203 121.91 121.91 86.72
Closest atoms and distances in Å follow each position.
Fractional positions:
Nb1 0.0000 0.0000 0.0000  4 S 2.32
Nb2 0.7500 0.2500 0.5000  4 S 2.32
S1 0.0220 0.6250 0.8970  2 Nb 2.32
S2 0.3750 0.2720 0.3970  2 Nb 2.32
S3 0.7280 0.1250 0.1030  2 Nb 2.32
S4 0.8750 0.9780 0.6030  2 Nb 2.32
Br1 0.2500 0.7500 0.5000  4 S 3.17
Br2 0.5000 0.5000 0.0000  4 S 3.17

Calculated values
space group	No. 122
magnetization	0.0	μB/f.u.
N(E_F)	0.0359	states/eV/atom

***

What is the stability order? It is Q), P), from most stable to least stable.